(1)
Material: Tb4CdAu7
Method: DFT, GGA-PBE
State: relaxed

a = 14.2294 Å, b = 5.2143 Å, c = 9.1738 Å
α = 90.00°, β = 124.09°, γ = 90.00°
Closest atoms and distances in Å follow each position.
Space group C2/m (No. 12)
Asymmetric unit:
Tb: 0.0630 0.0000 0.2434 x4  8 Au 2.95-3.20
Tb: 0.2389 0.0000 0.7634 x4  6 Au 2.86-3.18
Cd: 0.0000 0.5000 0.5000 x2  6 Au 2.61-2.87
Au: 0.0000 0.0000 0.5000 x2  2 Cd 2.61, 2 Tb 2.86
Au: 0.0727 0.5000 0.8620 x4  1 Cd 2.87, 3 Tb 2.95-3.06, 3 Au 3.05-3.10
Au: 0.1838 0.0000 0.0544 x4  5 Tb 2.96-3.18, 3 Au 3.05-3.10
Au: 0.1888 0.5000 0.4753 x4  1 Cd 2.82, 2 Tb 2.89-2.99, 2 Au 3.03

Properties
- M_tot: 0.0 μB per formula unit
- Final energy: -0.306 Ry/atom
- DFT formation energy: -633 meV/atom
- V: 23.49 Å³/atom

(2)
Material: Tb2CdAu
Method: DFT, GGA-PBE
State: relaxed

a = 3.8820 Å, b = 3.8820 Å, c = 25.7893 Å
α = 90.00°, β = 90.00°, γ = 120.00°
Closest atoms and distances in Å follow each position.
Space group R-3m (No. 166, hexagonal axes)
Asymmetric unit:
Tb: 0.0000 0.0000 0.2410 x6  3 Au 2.95, 3 Cd 3.27
Cd: 0.0000 0.0000 0.0000 x3  6 Tb 3.27
Au: 0.0000 0.0000 0.5000 x3  6 Tb 2.95

Properties
- Distance to the lowest polymorph of the same formula: 183 meV/atom
- M_tot: 0.0 μB per formula unit
- Final energy: -0.277 Ry/atom
- DFT formation energy: -403 meV/atom
- V: 28.05 Å³/atom

(3)
Material: Tb2Cd2Au3
Method: DFT, GGA-PBE
State: relaxed

a = 8.7533 Å, b = 5.0540 Å, c = 7.8960 Å
α = 90.00°, β = 111.58°, γ = 90.00°
Closest atoms and distances in Å follow each position.
Space group C2/m (No. 12)
Asymmetric unit:
Tb: 0.1097 0.0000 0.3283 x4  7 Au 2.95-3.18
Cd: 0.1307 0.5000 0.8938 x4  2 Au 2.76-2.89
Au: 0.0000 0.5000 0.5000 x2  2 Cd 2.89, 6 Tb 3.18
Au: 0.2431 0.0000 0.7301 x4  1 Cd 2.76, 4 Tb 2.95

Properties
- M_tot: 0.0 μB per formula unit
- Final energy: -0.264 Ry/atom
- DFT formation energy: -603 meV/atom
- V: 23.20 Å³/atom

(4)
Material: TbCd4Au2
Method: DFT, GGA-PBE
State: relaxed

a = 4.5742 Å, b = 18.5246 Å, c = 3.6804 Å
α = 90.00°, β = 90.00°, γ = 90.00°
Closest atoms and distances in Å follow each position.
Space group Cmmm (No. 65)
Asymmetric unit:
Tb: 0.0000 0.0000 0.0000 x2  8 Au 3.23, 4 Cd 3.54
Cd: 0.0000 0.1635 0.5000 x4  2 Au 2.84, 4 Cd 3.00
Cd: 0.0000 0.3041 0.0000 x4  2 Au 2.93, 8 Cd 3.00-3.19
Au: 0.0000 0.4272 0.5000 x4  1 Au 2.70, 4 Cd 2.84-2.93

Properties
- M_tot: 0.0 μB per formula unit
- Final energy: -0.181 Ry/atom
- DFT formation energy: -338 meV/atom
- V: 22.28 Å³/atom

Which of these has the lowest V?
TbCd4Au2